[1]
PaNiAgSn: relaxed, PBE.

Results
Calculated formation energy   -0.137 eV per atom
Final energy   -0.4167 Ry per atom
Calculated density   10.8 Mg/m³
DOS(E_F)   10.3 states/eV/cell

Cell and atoms, written as CIF:
```
data_PaNiAgSn
_chemical_formula_sum 'Pa4 Ni4 Ag4 Sn4'
_space_group_name_H-M_alt 'F -4 3 m'
_space_group_IT_number 216
_space_group_name_Hall 'F -4 2 3'
_cell_length_a 6.823
_cell_length_b 6.823
_cell_length_c 6.823
_cell_angle_alpha 90.00
_cell_angle_beta 90.00
_cell_angle_gamma 90.00
loop_
_atom_site_label
_atom_site_type_symbol
_atom_site_fract_x
_atom_site_fract_y
_atom_site_fract_z
Pa1 Pa 0.000 0.000 0.000
Ni1 Ni 0.250 0.250 0.750
Ag1 Ag 0.250 0.250 0.250
Sn1 Sn 0.000 0.000 0.500
```

***

[2]
NaGa2AgIr: relaxed, PBE.

Results
Calculated formation energy   -0.111 eV per atom
Final energy   -0.2887 Ry per atom
Calculated density   6.3 Mg/m³
DOS(E_F)   1.1 states/eV/cell

Cell and atoms, written as CIF:
```
data_NaGa2AgIr
_chemical_formula_sum 'Na1 Ga2 Ag1 Ir1'
_space_group_name_H-M_alt 'P 4/m m m'
_space_group_IT_number 123
_space_group_name_Hall '-P 4 2'
_cell_length_a 4.752
_cell_length_b 4.752
_cell_length_c 5.372
_cell_angle_alpha 90.00
_cell_angle_beta 90.00
_cell_angle_gamma 90.00
loop_
_atom_site_label
_atom_site_type_symbol
_atom_site_fract_x
_atom_site_fract_y
_atom_site_fract_z
Na1 Na 0.000 0.000 0.000
Ga1 Ga 0.000 0.500 0.500
Ag1 Ag 0.500 0.500 0.000
Ir1 Ir 0.500 0.500 0.500
```